Here is a relaxed NaTl3Cu2F6 crystal from Alexandria. Energies are from PBE-GGA.

Values from the calculation:
The raw formation energy comes out at -152 kJ per mole of atoms. As for the total energy: -3.896 eV/atom. The calculation puts the total magnetization at 0.1 Bohr magnetons per cell. As for the crystal system: trigonal.

Cell: 6.236 6.236 5.949 Å, 90.00 90.00 120.00°
Fractional positions:
1 Na 0.000 0.000 0.000
2 Tl 0.000 0.000 0.500
3 Tl 0.333 0.667 0.149
4 Tl 0.667 0.333 0.851
5 Cu 0.333 0.667 0.586
6 Cu 0.667 0.333 0.414
7 F 0.185 0.369 0.811
8 F 0.185 0.815 0.811
9 F 0.369 0.185 0.189
10 F 0.631 0.815 0.811
11 F 0.815 0.185 0.189
12 F 0.815 0.631 0.189

Here is a relaxed NaTmCuF6 crystal from Alexandria. Energies are from PBE-GGA.

Values from the calculation:
The raw formation energy comes out at -281 kJ per mole of atoms. As for the total energy: -5.263 eV/atom. The calculation puts the total magnetization at 2.0 Bohr magnetons per cell. As for the crystal system: trigonal.

Cell: 5.566 5.566 9.696 Å, 90.00 90.00 120.00°
Fractional positions:
1 Na 0.000 0.000 0.000
2 Na 0.000 0.000 0.500
3 Tm 0.333 0.667 0.250
4 Tm 0.667 0.333 0.750
5 Cu 0.333 0.667 0.750
6 Cu 0.667 0.333 0.250
7 F 0.013 0.362 0.636
8 F 0.013 0.651 0.864
9 F 0.349 0.362 0.864
10 F 0.349 0.987 0.636
11 F 0.362 0.013 0.136
12 F 0.362 0.349 0.364
13 F 0.638 0.651 0.636
14 F 0.638 0.987 0.864
15 F 0.651 0.013 0.364
16 F 0.651 0.638 0.136
17 F 0.987 0.349 0.136
18 F 0.987 0.638 0.364

Here is a relaxed Na2TmCuF6 crystal from Alexandria. Energies are from PBE-GGA.

Values from the calculation:
The raw formation energy comes out at -284 kJ per mole of atoms. As for the total energy: -5.190 eV/atom. The calculation puts the total magnetization at 0.1 Bohr magnetons per cell. As for the crystal system: monoclinic.

Cell: 5.705 5.509 11.337 Å, 90.00 120.10 90.00°
Fractional positions:
1 Na 0.215 0.000 0.215
2 Na 0.215 0.500 0.715
3 Na 0.785 0.000 0.785
4 Na 0.785 0.500 0.285
5 Tm 0.500 0.000 0.000
6 Tm 0.500 0.500 0.500
7 Cu 0.000 0.000 0.500
8 Cu 0.000 0.500 0.000
9 F 0.178 0.213 0.000
10 F 0.178 0.287 0.500
11 F 0.180 0.713 0.346
12 F 0.180 0.787 0.846
13 F 0.487 0.713 0.654
14 F 0.487 0.787 0.154
15 F 0.513 0.213 0.846
16 F 0.513 0.287 0.346
17 F 0.820 0.213 0.154
18 F 0.820 0.287 0.654
19 F 0.822 0.713 0.500
20 F 0.822 0.787 0.000

Here is a relaxed Na2TmCuF8 crystal from Alexandria. Energies are from PBE-GGA.

Values from the calculation:
The raw formation energy comes out at -267 kJ per mole of atoms. As for the total energy: -4.952 eV/atom. The calculation puts the total magnetization at 0.1 Bohr magnetons per cell. As for the crystal system: triclinic.

Cell: 3.587 5.278 8.814 Å, 95.55 90.18 92.83°
Fractional positions:
1 Na 0.008 0.027 0.270
2 Na 0.992 0.973 0.730
3 Tm 0.500 0.500 0.000
4 Cu 0.500 0.500 0.500
5 F 0.008 0.689 0.918
6 F 0.134 0.270 0.539
7 F 0.463 0.671 0.683
8 F 0.493 0.806 0.174
9 F 0.507 0.194 0.826
10 F 0.537 0.329 0.317
11 F 0.866 0.730 0.461
12 F 0.992 0.311 0.082

Here is a relaxed NaTmCu2F8 crystal from Alexandria. Energies are from PBE-GGA.

Values from the calculation:
The raw formation energy comes out at -248 kJ per mole of atoms. As for the total energy: -4.985 eV/atom. The calculation puts the total magnetization at 2.0 Bohr magnetons per cell. As for the crystal system: tetragonal.

Cell: 6.484 6.484 6.484 Å, 130.56 130.56 72.52°
Fractional positions:
1 Na 0.000 0.000 0.000
2 Tm 0.750 0.250 0.500
3 Cu 0.250 0.750 0.500
4 Cu 0.500 0.500 0.000
5 F 0.018 0.979 0.613
6 F 0.021 0.634 0.039
7 F 0.134 0.293 0.564
8 F 0.366 0.405 0.387
9 F 0.430 0.866 0.159
10 F 0.595 0.982 0.961
11 F 0.707 0.271 0.841
12 F 0.729 0.570 0.436